[1]
## TbMn2I8 (PBE)

Data for a geometry-optimized TbMn2I8 structure. Values from VASP.

Properties
Total magnetic moment, μB per formula unit: 8.99
ΔE_f (raw), eV per atom: -0.7082
VASP energy, Ry/atom: -0.28839
Mass density, g/cm3: 3.9
SG: C2/m, No. 12

Geometry as Quantum ESPRESSO input:
```
&SYSTEM
  ibrav = 0, nat = 11, ntyp = 3
/
ATOMIC_SPECIES
Tb 158.93 Tb.upf
Mn 54.94 Mn.upf
I 126.90 I.upf
ATOMIC_POSITIONS crystal
Tb 0.0000 0.0000 0.0000
Mn 0.3334 0.2125 0.2125
Mn 0.6666 0.7875 0.7875
I 0.7837 0.0624 0.7264
I 0.2163 0.2736 0.9376
I 0.7049 0.2176 0.2176
I 0.2951 0.7824 0.7824
I 0.7837 0.7264 0.0624
I 0.2163 0.9376 0.2736
I 0.2152 0.4256 0.4256
I 0.7848 0.5744 0.5744
CELL_PARAMETERS angstrom
7.1333 0.3320 0.4999
0.6237 8.7581 0.6626
0.5100 -0.9584 8.7381
```

---

[2]
## TbMn3I9 (PBE)

Data for a geometry-optimized TbMn3I9 structure. Values from VASP.

Properties
Total magnetic moment, μB per formula unit: 15.00
ΔE_f (raw), eV per atom: -0.6740
Density of states at the Fermi level, states/eV/atom: 0.0000
VASP energy, Ry/atom: -0.31012
Mass density, g/cm3: 4.0
SG: Cc, No. 9

Geometry as Quantum ESPRESSO input:
```
&SYSTEM
  ibrav = 0, nat = 26, ntyp = 3
/
ATOMIC_SPECIES
Tb 158.93 Tb.upf
Mn 54.94 Mn.upf
I 126.90 I.upf
ATOMIC_POSITIONS crystal
Tb 0.0206 0.4984 0.0080
Tb 0.4730 0.9984 0.5080
Mn 0.8151 0.5534 0.6738
Mn 0.9577 0.0534 0.1738
Mn 0.9883 0.9477 0.8337
Mn 0.2302 0.4477 0.3337
Mn 0.5831 0.2472 0.7192
Mn 0.4506 0.7472 0.2192
I 0.3260 0.1859 0.3278
I 0.1603 0.6859 0.8278
I 0.3567 0.2953 0.9301
I 0.4178 0.7953 0.4301
I 0.1621 0.0859 0.7013
I 0.0507 0.5859 0.2013
I 0.7216 0.7484 0.0608
I 0.4692 0.2484 0.5608
I 0.8134 0.9337 0.3728
I 0.8800 0.4337 0.8728
I 0.5692 0.7873 0.7013
I 0.9421 0.2873 0.2013
I 0.4894 0.4947 0.2277
I 0.7882 0.9947 0.7277
I 0.7455 0.3998 0.5934
I 0.2614 0.8998 0.0934
I 0.8134 0.0797 0.0278
I 0.0790 0.5797 0.5278
CELL_PARAMETERS angstrom
3.0538 -3.0122 9.4777
-1.1479 -11.1046 2.5501
11.7966 -4.5303 0.4687
```

---

[3]
## MnTcI3 (PBE)

Data for a geometry-optimized MnTcI3 structure. Values from VASP.

Properties
Total magnetic moment, μB per formula unit: 5.81
Excess energy over the best structure of this formula in the dataset, eV/f.u.: 0.00
ΔE_f (raw), eV per atom: 0.7595
Density of states at the Fermi level, states/eV/atom: 1.8708
VASP energy, Ry/atom: -0.29970
Mass density, g/cm3: 5.5
SG: Pm-3m, No. 221

Geometry as Quantum ESPRESSO input:
```
&SYSTEM
  ibrav = 0, nat = 5, ntyp = 3
/
ATOMIC_SPECIES
I 126.90 I.upf
Mn 54.94 Mn.upf
Tc 98.00 Tc.upf
ATOMIC_POSITIONS crystal
I 0.0000 0.5000 0.0000
I 0.0000 0.0000 0.5000
I 0.5000 0.0000 0.0000
Mn 0.5000 0.5000 0.5000
Tc 0.0000 0.0000 0.0000
CELL_PARAMETERS angstrom
-1.9987 3.3770 -3.7816
-0.4034 -4.1579 -3.4998
-5.0539 -1.0037 1.7749
```

---

[4]
## MnTc3I (PBE)

Data for a geometry-optimized MnTc3I structure. Values from VASP.

Properties
Total magnetic moment, μB per formula unit: 0.00
Excess energy over the best structure of this formula in the dataset, eV/f.u.: 0.00
ΔE_f (raw), eV per atom: 1.4562
Density of states at the Fermi level, states/eV/atom: 1.6340
VASP energy, Ry/atom: -0.50768
Mass density, g/cm3: 8.6
SG: Pm-3m, No. 221

Geometry as Quantum ESPRESSO input:
```
&SYSTEM
  ibrav = 0, nat = 5, ntyp = 3
/
ATOMIC_SPECIES
I 126.90 I.upf
Mn 54.94 Mn.upf
Tc 98.00 Tc.upf
ATOMIC_POSITIONS crystal
I 0.5000 0.5000 0.5000
Mn 0.0000 0.0000 0.0000
Tc 0.0000 0.5000 0.0000
Tc 0.0000 0.0000 0.5000
Tc 0.5000 0.0000 0.0000
CELL_PARAMETERS angstrom
4.5076 0.0000 0.0000
0.0000 4.5076 0.0000
0.0000 0.0000 4.5076
```

---

[5]
## MnTc2I (PBE)

Data for a geometry-optimized MnTc2I structure. Values from VASP.

Properties
Total magnetic moment, μB per formula unit: 3.49
Excess energy over the best structure of this formula in the dataset, eV/f.u.: 0.00
ΔE_f (raw), eV per atom: 0.7131
Density of states at the Fermi level, states/eV/atom: 0.6220
VASP energy, Ry/atom: -0.52550
Mass density, g/cm3: 9.9
SG: Fm-3m, No. 225

Geometry as Quantum ESPRESSO input:
```
&SYSTEM
  ibrav = 0, nat = 4, ntyp = 3
/
ATOMIC_SPECIES
I 126.90 I.upf
Mn 54.94 Mn.upf
Tc 98.00 Tc.upf
ATOMIC_POSITIONS crystal
I 0.5000 0.5000 0.5000
Mn 0.0000 0.0000 0.0000
Tc 0.2500 0.2500 0.2500
Tc 0.7500 0.7500 0.7500
CELL_PARAMETERS angstrom
-1.4237 -3.4135 -2.5169
-4.3789 -0.8460 -0.3516
-2.1300 0.7973 -3.8525
```

---

[6]
## MnTc2I (PBE)

Data for a geometry-optimized MnTc2I structure. Values from VASP.

Properties
Total magnetic moment, μB per formula unit: 0.00
Excess energy over the best structure of this formula in the dataset, eV/f.u.: 1.49
ΔE_f (raw), eV per atom: 1.0863
Density of states at the Fermi level, states/eV/atom: 0.1085
VASP energy, Ry/atom: -0.49807
Mass density, g/cm3: 7.2
SG: I-42d, No. 122

Geometry as Quantum ESPRESSO input:
```
&SYSTEM
  ibrav = 0, nat = 8, ntyp = 3
/
ATOMIC_SPECIES
I 126.90 I.upf
Mn 54.94 Mn.upf
Tc 98.00 Tc.upf
ATOMIC_POSITIONS crystal
I 0.0000 0.0000 0.0000
I 0.7500 0.2500 0.5000
Mn 0.5000 0.5000 0.0000
Mn 0.2500 0.7500 0.5000
Tc 0.5602 0.1250 0.2500
Tc 0.1898 0.6250 0.2500
Tc 0.3750 0.4398 0.7500
Tc 0.8750 0.8102 0.7500
CELL_PARAMETERS angstrom
-2.4811 4.6705 1.3785
0.1868 -1.4548 5.2649
4.0213 4.1965 3.8536
```

---

[7]
## Ti2MnTcI (PBE)

Data for a geometry-optimized Ti2MnTcI structure. Values from VASP.

Properties
Total magnetic moment, μB per formula unit: 4.33
ΔE_f (raw), eV per atom: 1.5407
Density of states at the Fermi level, states/eV/atom: 1.6080
VASP energy, Ry/atom: -0.42882
Mass density, g/cm3: 5.5
SG: P4/mmm, No. 123

Geometry as Quantum ESPRESSO input:
```
&SYSTEM
  ibrav = 0, nat = 5, ntyp = 4
/
ATOMIC_SPECIES
I 126.90 I.upf
Mn 54.94 Mn.upf
Tc 98.00 Tc.upf
Ti 47.87 Ti.upf
ATOMIC_POSITIONS crystal
I 0.0000 0.0000 0.0000
Mn 0.0000 0.5000 0.0000
Tc 0.5000 0.5000 0.5000
Ti 0.0000 0.0000 0.5000
Ti 0.5000 0.0000 0.0000
CELL_PARAMETERS angstrom
4.9331 0.0000 0.0000
0.0000 4.6408 0.0000
0.0000 0.0000 4.9331
```

---

[8]
## MnTlTc2I (PBE)

Data for a geometry-optimized MnTlTc2I structure. Values from VASP.

Properties
Total magnetic moment, μB per formula unit: 2.67
ΔE_f (raw), eV per atom: 1.3254
Density of states at the Fermi level, states/eV/atom: 1.2851
VASP energy, Ry/atom: -0.39970
Mass density, g/cm3: 8.4
SG: P4/mmm, No. 123

Geometry as Quantum ESPRESSO input:
```
&SYSTEM
  ibrav = 0, nat = 5, ntyp = 4
/
ATOMIC_SPECIES
I 126.90 I.upf
Tl 204.38 Tl.upf
Mn 54.94 Mn.upf
Tc 98.00 Tc.upf
ATOMIC_POSITIONS crystal
I 0.0000 0.5000 0.0000
Tl 0.5000 0.5000 0.5000
Mn 0.0000 0.0000 0.0000
Tc 0.0000 0.0000 0.5000
Tc 0.5000 0.0000 0.0000
CELL_PARAMETERS angstrom
-1.1896 -0.4300 4.4465
5.1914 -0.7977 1.3118
0.5510 4.5522 0.5876
```

---

Q: Look up the VASP energy of the second one.
A: -0.31012 Ry/atom

---

Q: Which of these has the highest mass density?
A: number 5

---

Q: Which value of VASP energy does entry 7 give?
A: -0.42882 Ry/atom

---

Repeat the first record exactly.
## TbMn2I8 (PBE)

Data for a geometry-optimized TbMn2I8 structure. Values from VASP.

Properties
Total magnetic moment, μB per formula unit: 8.99
ΔE_f (raw), eV per atom: -0.7082
VASP energy, Ry/atom: -0.28839
Mass density, g/cm3: 3.9
SG: C2/m, No. 12

Geometry as Quantum ESPRESSO input:
```
&SYSTEM
  ibrav = 0, nat = 11, ntyp = 3
/
ATOMIC_SPECIES
Tb 158.93 Tb.upf
Mn 54.94 Mn.upf
I 126.90 I.upf
ATOMIC_POSITIONS crystal
Tb 0.0000 0.0000 0.0000
Mn 0.3334 0.2125 0.2125
Mn 0.6666 0.7875 0.7875
I 0.7837 0.0624 0.7264
I 0.2163 0.2736 0.9376
I 0.7049 0.2176 0.2176
I 0.2951 0.7824 0.7824
I 0.7837 0.7264 0.0624
I 0.2163 0.9376 0.2736
I 0.2152 0.4256 0.4256
I 0.7848 0.5744 0.5744
CELL_PARAMETERS angstrom
7.1333 0.3320 0.4999
0.6237 8.7581 0.6626
0.5100 -0.9584 8.7381
```